No. 1
## Ta2CdRh (PBE)

Data for a relaxed structure of Ta2CdRh.

Cell lengths 4.0182, 4.0182, 4.2772 Å; angles 90.00, 90.00, 90.00 degrees
Fractional coordinates of all 4 atoms:
Rh 0.0000 0.0000 0.5000
Ta 0.5000 0.0000 0.0000
Ta 0.0000 0.5000 0.0000
Cd 0.5000 0.5000 0.5000

Formation energy from the elements   16 meV/atom
Energy   -7.977 eV per atom
Symmetry   P4/mmm (123)

No. 2
## Hg4HPd2 (PBE)

Data for a relaxed structure of Hg4HPd2.

Cell lengths 4.7576, 4.7576, 7.7444 Å; angles 72.11, 72.11, 60.00 degrees
Fractional coordinates of all 7 atoms:
Hg 0.2079 0.2079 0.3764
Hg 0.3918 0.3918 0.8246
Pd 0.9222 0.9222 0.2334
Hg 0.7921 0.7921 0.6236
H 0.0000 0.0000 0.0000
Pd 0.0778 0.0778 0.7666
Hg 0.6082 0.6082 0.1754

Energy   -2.126 eV per atom
Symmetry   R-3m (166)

No. 3
## KTa2Re2 (PBE)

Data for a relaxed structure of KTa2Re2.

Cell lengths 8.6540, 8.6540, 2.6645 Å; angles 90.00, 90.00, 90.00 degrees
Fractional coordinates of all 10 atoms:
Re 0.8516 0.3516 0.5000
Re 0.6484 0.8516 0.5000
K 0.0000 0.0000 0.0000
Re 0.1484 0.6484 0.5000
Ta 0.6402 0.1402 0.0000
Re 0.3516 0.1484 0.5000
Ta 0.3598 0.8598 0.0000
Ta 0.1402 0.3598 0.0000
K 0.5000 0.5000 0.0000
Ta 0.8598 0.6402 0.0000

Formation energy from the elements   519 meV/atom
Energy   -9.421 eV per atom
Symmetry   P4/mbm (127)
Offset from the most stable computed form   0.000 eV/atom

No. 4
## KAu2Br (PBE)

Data for a relaxed structure of KAu2Br.

Cell lengths 10.9268, 10.9268, 10.9268 Å; angles 16.67, 16.67, 16.67 degrees
Fractional coordinates of all 4 atoms:
Au 0.5004 0.5004 0.5004
K 0.7500 0.7500 0.7500
Br 0.2500 0.2500 0.2500
Au 0.9996 0.9996 0.9996

Energy   -2.057 eV per atom
Symmetry   R-3m (166)
Offset from the most stable computed form   0.731 eV/atom
Formation energy without anion corrections   0.275 eV per atom

No. 5
## CoAg2BiC (PBE)

Data for a relaxed structure of CoAg2BiC.

Cell lengths 4.2063, 5.1883, 4.2063 Å; angles 90.00, 90.00, 90.00 degrees
Last column: magnetic moment on the atom in μB.
Fractional coordinates of all 5 atoms:
Co 0.5000 0.5000 0.5000  1.66
Ag 0.5000 0.0000 0.0000  0.02
Ag 0.0000 0.0000 0.5000  0.01
Bi 0.0000 0.5000 0.0000  -0.09
C 0.0000 0.0000 0.0000  0.00

Formation energy from the elements   1160 meV/atom
Energy   -4.022 eV per atom
Symmetry   P4/mmm (123)

No. 6
## ThMg6Zn2 (PBE)

Data for a relaxed structure of ThMg6Zn2.

Cell lengths 4.3805, 4.3805, 10.3927 Å; angles 90.00, 90.00, 90.00 degrees
Fractional coordinates of all 9 atoms:
Zn 0.5000 0.5000 0.1159
Mg 0.0000 0.5000 0.7243
Mg 0.5000 0.0000 0.2757
Mg 0.5000 0.0000 0.7243
Zn 0.5000 0.5000 0.8841
Mg 0.0000 0.5000 0.2757
Th 0.0000 0.0000 0.0000
Mg 0.5000 0.5000 0.5000
Mg 0.0000 0.0000 0.5000

Formation energy from the elements   -90 meV/atom
Energy   -2.261 eV per atom
Symmetry   P4/mmm (123)

Question: energy of number 6 (ThMg6Zn2)?
Answer: -2.261 eV per atom

Question: Among the records above, which one has the lowest energy?
Answer: KTa2Re2

Question: The lowest energy belongs to which entry?
Answer: KTa2Re2

Question: energy of number 6 (ThMg6Zn2)?
Answer: -2.261 eV per atom